PmNd3Mg: relaxed, PBE.

Computed properties:
For the spin magnetization, the calculation gives 0.00 μB per cell. Its total energy is -0.2955 Ry per atom. The value obtained for the calculated density is 5.8 Mg/m³. For the energy of formation, the calculation gives 0.11 eV/atom. For the polymorph energy (0 for the lowest one), the calculation gives 0.630 eV per formula unit.

Cell lengths 3.8957, 10.7600, 8.1982 Å; angles 90.00, 90.07, 90.00 degrees
Fractional coordinates of all 10 atoms:
Pm (0.2504, 0.2500, 0.0578)
Pm (0.7496, 0.7500, 0.9422)
Nd (0.2498, 0.0001, 0.7541)
Nd (0.2498, 0.2500, 0.4437)
Nd (0.2498, 0.4999, 0.7541)
Nd (0.7502, 0.9999, 0.2459)
Nd (0.7502, 0.5001, 0.2459)
Nd (0.7502, 0.7500, 0.5563)
Mg (0.2501, 0.7500, 0.2478)
Mg (0.7499, 0.2500, 0.7522)



TaHg2Au: relaxed, PBE.

Computed properties:
For the spin magnetization, the calculation gives 0.00 μB per cell. Its total energy is -0.2496 Ry per atom. The value obtained for the calculated density is 16.5 Mg/m³. For the energy of formation, the calculation gives 0.54 eV/atom. For the polymorph energy (0 for the lowest one), the calculation gives 1.424 eV per formula unit.

Cell lengths 6.7962, 6.7962, 6.7962 Å; angles 90.00, 90.00, 90.00 degrees
Fractional coordinates of all 16 atoms:
Ta (0.0000, 0.0000, 0.0000)
Ta (0.0000, 0.5000, 0.5000)
Ta (0.5000, 0.0000, 0.5000)
Ta (0.5000, 0.5000, 0.0000)
Hg (0.2500, 0.2500, 0.2500)
Hg (0.2500, 0.2500, 0.7500)
Hg (0.2500, 0.7500, 0.2500)
Hg (0.2500, 0.7500, 0.7500)
Hg (0.7500, 0.2500, 0.2500)
Hg (0.7500, 0.2500, 0.7500)
Hg (0.7500, 0.7500, 0.2500)
Hg (0.7500, 0.7500, 0.7500)
Au (0.0000, 0.0000, 0.5000)
Au (0.0000, 0.5000, 0.0000)
Au (0.5000, 0.0000, 0.0000)
Au (0.5000, 0.5000, 0.5000)



Cs2PbAu3: relaxed, PBE.

Computed properties:
For the spin magnetization, the calculation gives 0.00 μB per cell. Its total energy is -0.1961 Ry per atom. The value obtained for the calculated density is 7.0 Mg/m³. For the energy of formation, the calculation gives -0.13 eV/atom.

Cell lengths 7.8597, 7.8597, 8.9996 Å; angles 102.69, 102.69, 71.79 degrees
Fractional coordinates of all 12 atoms:
Cs (0.0298, 0.6580, 0.8395)
Cs (0.3420, 0.9702, 0.6605)
Cs (0.6580, 0.0298, 0.3395)
Cs (0.9702, 0.3420, 0.1605)
Pb (0.4187, 0.5813, 0.2500)
Pb (0.5813, 0.4187, 0.7500)
Au (0.1092, 0.8908, 0.2500)
Au (0.2986, 0.4614, 0.4901)
Au (0.4614, 0.2986, 0.9901)
Au (0.5386, 0.7014, 0.0099)
Au (0.7014, 0.5386, 0.5099)
Au (0.8908, 0.1092, 0.7500)



NiPt6Rh8: relaxed, PBE.

Computed properties:
For the spin magnetization, the calculation gives 0.04 μB per cell. Its total energy is -0.4744 Ry per atom. The value obtained for the calculated density is 14.1 Mg/m³. For the energy of formation, the calculation gives 0.27 eV/atom. For the polymorph energy (0 for the lowest one), the calculation gives 0.000 eV per formula unit.

Cell lengths 7.2967, 7.2967, 5.2468 Å; angles 90.00, 90.00, 120.00 degrees
Fractional coordinates of all 15 atoms:
Ni (0.0000, 0.0000, 0.0000)
Pt (0.0460, 0.3621, 0.1005)
Pt (0.3161, 0.9540, 0.1005)
Pt (0.3621, 0.3161, 0.8995)
Pt (0.6379, 0.6839, 0.1005)
Pt (0.6839, 0.0460, 0.8995)
Pt (0.9540, 0.6379, 0.8995)
Rh (0.0471, 0.6834, 0.4096)
Rh (0.3166, 0.3637, 0.4096)
Rh (0.3333, 0.6667, 0.7311)
Rh (0.3637, 0.0471, 0.5904)
Rh (0.6363, 0.9529, 0.4096)
Rh (0.6667, 0.3333, 0.2689)
Rh (0.6834, 0.6363, 0.5904)
Rh (0.9529, 0.3166, 0.5904)